NdGe4Ir | Alexandria | GGA-PBE | relaxed; space group = C2/c (15); ΔH_f (0 K) = -415 meV per atom; energy = -5.764 eV/atom
1.0
-1.634 4.809 -3.823
-6.612 -0.920 1.668
2.031 1.279 6.027
Ge Nd Ir
8 2 2
Direct
0.875 0.859 0.511 Ge
0.364 0.641 0.489 Ge
0.636 0.359 0.511 Ge
0.418 0.912 0.097 Ge
0.125 0.141 0.489 Ge
0.582 0.088 0.903 Ge
0.678 0.412 0.097 Ge
0.322 0.588 0.903 Ge
0.100 0.250 0.000 Nd
0.900 0.750 0.000 Nd
0.500 0.000 0.500 Ir
0.000 0.500 0.500 Ir